No. 1
A relaxed NdSi4Pd4 crystal. Source: the Alexandria database, functional PBE.

abc: 6.0470 6.0470 8.2897
angles: 90.00 90.00 90.00
Element x y z (fractional)
Nd1 0.2500 0.7500 0.2500
Nd2 0.7500 0.2500 0.7500
Si1 0.0504 0.2500 0.0770
Si2 0.2500 0.0504 0.5770
Si3 0.2500 0.4496 0.5770
Si4 0.4496 0.2500 0.0770
Si5 0.5504 0.7500 0.9230
Si6 0.7500 0.5504 0.4230
Si7 0.7500 0.9496 0.4230
Si8 0.9496 0.7500 0.9230
Pd1 0.0163 0.2500 0.3732
Pd2 0.2500 0.0163 0.8732
Pd3 0.2500 0.4837 0.8732
Pd4 0.4837 0.2500 0.3732
Pd5 0.5163 0.7500 0.6268
Pd6 0.7500 0.5163 0.1268
Pd7 0.7500 0.9837 0.1268
Pd8 0.9837 0.7500 0.6268

Calculated values
Space-group type: No. 137
Raw formation energy in eV per atom: -0.663
Magnetic moment in Bohr magnetons per cell: 0.000

***

No. 2
A relaxed NdSiPd2 crystal. Source: the Alexandria database, functional PBE.

abc: 5.6573 5.6573 5.6573
angles: 43.99 43.99 43.99
Element x y z (fractional)
Nd1 0.0000 0.0000 0.0000
Si1 0.5000 0.5000 0.5000
Pd1 0.2094 0.2094 0.2094
Pd2 0.7906 0.7906 0.7906

Calculated values
Space-group type: No. 166
Raw formation energy in eV per atom: -0.785
Magnetic moment in Bohr magnetons per cell: 0.000

***

No. 3
A relaxed NdSiPd6 crystal. Source: the Alexandria database, functional PBE.

abc: 6.3431 6.3431 6.3431
angles: 54.33 54.33 54.33
Element x y z (fractional)
Nd1 0.0000 0.0000 0.0000
Si1 0.5000 0.5000 0.5000
Pd1 0.0580 0.5938 0.5938
Pd2 0.4062 0.4062 0.9420
Pd3 0.4062 0.9420 0.4062
Pd4 0.5938 0.0580 0.5938
Pd5 0.5938 0.5938 0.0580
Pd6 0.9420 0.4062 0.4062

Calculated values
Space-group type: No. 166
Raw formation energy in eV per atom: -0.420
Magnetic moment in Bohr magnetons per cell: 0.000

***

No. 4
A relaxed Nd4SiPd3 crystal. Source: the Alexandria database, functional PBE.

abc: 4.0694 4.4198 11.0197
angles: 90.00 90.00 90.00
Element x y z (fractional)
Nd1 0.0000 0.0000 0.0000
Nd2 0.0000 0.5000 0.2772
Nd3 0.5000 0.0000 0.4982
Nd4 0.5000 0.5000 0.7754
Si1 0.5000 0.0000 0.2143
Pd1 0.0000 0.0000 0.7232
Pd2 0.0000 0.5000 0.5557
Pd3 0.5000 0.5000 0.0637

Calculated values
Space-group type: No. 25
Raw formation energy in eV per atom: -0.763
Magnetic moment in Bohr magnetons per cell: 0.000

***

No. 5
A relaxed NdSi3Pd10 crystal. Source: the Alexandria database, functional PBE.

abc: 8.7010 8.7010 8.7010
angles: 60.00 60.00 60.00
Element x y z (fractional)
Nd1 0.2500 0.2500 0.2500
Nd2 0.7500 0.7500 0.7500
Si1 0.2353 0.2353 0.7647
Si2 0.2353 0.7647 0.2353
Si3 0.2353 0.7647 0.7647
Si4 0.7647 0.2353 0.2353
Si5 0.7647 0.2353 0.7647
Si6 0.7647 0.7647 0.2353
Pd1 0.1147 0.1147 0.1147
Pd2 0.1147 0.1147 0.6558
Pd3 0.1147 0.6558 0.1147
Pd4 0.1558 0.5000 0.5000
Pd5 0.1558 0.5000 0.8442
Pd6 0.1558 0.8442 0.5000
Pd7 0.3442 0.8853 0.8853
Pd8 0.5000 0.1558 0.5000
Pd9 0.5000 0.1558 0.8442
Pd10 0.5000 0.5000 0.1558
Pd11 0.5000 0.5000 0.8442
Pd12 0.5000 0.8442 0.1558
Pd13 0.5000 0.8442 0.5000
Pd14 0.6558 0.1147 0.1147
Pd15 0.8442 0.1558 0.5000
Pd16 0.8442 0.5000 0.1558
Pd17 0.8442 0.5000 0.5000
Pd18 0.8853 0.3442 0.8853
Pd19 0.8853 0.8853 0.3442
Pd20 0.8853 0.8853 0.8853

Calculated values
Space-group type: No. 225
Raw formation energy in eV per atom: -0.682
Magnetic moment in Bohr magnetons per cell: 0.000

***

No. 6
A relaxed Nd2SiPd crystal. Source: the Alexandria database, functional PBE.

abc: 7.2105 7.2105 7.2105
angles: 34.95 34.95 34.95
Element x y z (fractional)
Nd1 0.2484 0.2484 0.2484
Nd2 0.7516 0.7516 0.7516
Si1 0.5000 0.5000 0.5000
Pd1 0.0000 0.0000 0.0000

Calculated values
Space-group type: No. 166
Raw formation energy in eV per atom: -0.521
Magnetic moment in Bohr magnetons per cell: 0.000

***

No. 7
A relaxed Nd2SiPd3 crystal. Source: the Alexandria database, functional PBE.

abc: 8.8747 8.6250 5.8342
angles: 72.85 68.23 38.92
Element x y z (fractional)
Nd1 0.2466 0.7534 0.7534
Nd2 0.2500 0.2500 0.2500
Nd3 0.7500 0.7500 0.7500
Nd4 0.7534 0.2466 0.2466
Si1 0.3335 0.3335 0.6665
Si2 0.6665 0.6665 0.3335
Pd1 0.1777 0.1777 0.8223
Pd2 0.1785 0.6466 0.3534
Pd3 0.3534 0.8215 0.1785
Pd4 0.6466 0.1785 0.8215
Pd5 0.8215 0.3534 0.6466
Pd6 0.8223 0.8223 0.1777

Calculated values
Space-group type: No. 69
Raw formation energy in eV per atom: -0.808
Magnetic moment in Bohr magnetons per cell: 0.000

***

No. 8
A relaxed NdSi4Pd6 crystal. Source: the Alexandria database, functional PBE.

abc: 7.1382 7.1382 3.9578
angles: 90.00 90.00 120.00
Element x y z (fractional)
Nd1 0.0000 0.0000 0.0000
Si1 0.3333 0.6667 0.0000
Si2 0.3926 0.1963 0.5000
Si3 0.8037 0.1963 0.5000
Si4 0.8037 0.6074 0.5000
Pd1 0.1994 0.3987 0.5000
Pd2 0.1994 0.8006 0.5000
Pd3 0.5340 0.0681 0.0000
Pd4 0.5340 0.4660 0.0000
Pd5 0.6013 0.8006 0.5000
Pd6 0.9319 0.4660 0.0000

Calculated values
Space-group type: No. 187
Raw formation energy in eV per atom: -0.788
Magnetic moment in Bohr magnetons per cell: 0.000

***

No. 9
A relaxed Nd2Si3Pd5 crystal. Source: the Alexandria database, functional PBE.

abc: 12.7675 12.7675 7.2303
angles: 90.00 90.00 161.34
Element x y z (fractional)
Nd1 0.0455 0.9545 0.5000
Nd2 0.3380 0.6620 0.3428
Nd3 0.6620 0.3380 0.8428
Nd4 0.9545 0.0455 0.0000
Si1 0.1216 0.8784 0.1854
Si2 0.2563 0.7437 0.8422
Si3 0.4687 0.5313 0.3241
Si4 0.5313 0.4687 0.8241
Si5 0.7437 0.2563 0.3422
Si6 0.8784 0.1216 0.6854
Pd1 0.0742 0.9258 0.9010
Pd2 0.2119 0.7881 0.5402
Pd3 0.2170 0.7830 0.1492
Pd4 0.3506 0.6494 0.8537
Pd5 0.4467 0.5533 0.6625
Pd6 0.5533 0.4467 0.1625
Pd7 0.6494 0.3506 0.3537
Pd8 0.7830 0.2170 0.6492
Pd9 0.7881 0.2119 0.0402
Pd10 0.9258 0.0742 0.4010

Calculated values
Space-group type: No. 36
Raw formation energy in eV per atom: -0.815
Magnetic moment in Bohr magnetons per cell: 0.000

***

No. 10
A relaxed Nd2Si3Pd6 crystal. Source: the Alexandria database, functional PBE.

abc: 7.3772 7.3772 4.3123
angles: 90.00 90.00 120.00
Element x y z (fractional)
Nd1 0.3333 0.6667 0.0000
Nd2 0.6667 0.3333 0.0000
Si1 0.0000 0.3634 0.5000
Si2 0.3634 0.0000 0.5000
Si3 0.6366 0.6366 0.5000
Pd1 0.0000 0.2132 0.0000
Pd2 0.0000 0.6914 0.5000
Pd3 0.2132 0.0000 0.0000
Pd4 0.3086 0.3086 0.5000
Pd5 0.6914 0.0000 0.5000
Pd6 0.7868 0.7868 0.0000

Calculated values
Space-group type: No. 189
Raw formation energy in eV per atom: -0.817
Magnetic moment in Bohr magnetons per cell: 0.000